## Pa4P5N (PBE)

Data for a relaxed Pa4P5N crystal.

a = 3.8487 Å, b = 6.9704 Å, c = 16.5616 Å
α = 90.00°, β = 90.00°, γ = 90.00°
With the nearest neighbours (Å) after each atom.
Space group Immm (No. 71)
Inequivalent atoms, fractional coordinates:
Pa (0.0000, 0.0000, 0.2001) (multiplicity 4)  6 P 2.75
Pa (0.0000, 0.2809, 0.5000) (multiplicity 4)  2 N 2.46, 2 P 2.75
P (0.0000, 0.2303, 0.3351) (multiplicity 8)  4 Pa 2.75
P (0.0000, 0.5000, 0.0000) (multiplicity 2)  4 Pa 2.75
N (0.0000, 0.0000, 0.0000) (multiplicity 2)  4 Pa 2.46

Computed properties:
Its crystal system is orthorhombic. As for the magnetic moment: 0.000 μB/atom. The density of states at the Fermi level comes out at 13.3 states/eV/cell. As for the uncorrected formation energy: -860 meV/atom.